#1
A relaxed PrHoB4 crystal, computed with PBE.

The total magnetic moment comes out at 0.0 μB/f.u.

The structure in CIF format:
```
data_PrHoB4
_chemical_formula_sum 'Pr1 Ho1 B4'
_symmetry_space_group_name_H-M 'P 1'
_symmetry_Int_Tables_number 1
_cell_length_a 3.309
_cell_length_b 3.309
_cell_length_c 8.046
_cell_angle_alpha 90.00
_cell_angle_beta 90.00
_cell_angle_gamma 120.00
loop_
_symmetry_equiv_pos_as_xyz
'x,y,z'
loop_
_atom_site_label
_atom_site_type_symbol
_atom_site_fract_x
_atom_site_fract_y
_atom_site_fract_z
_atom_site_occupancy
Pr1 Pr 0.000 0.000 0.000 1
Ho1 Ho 0.000 0.000 0.500 1
B1 B 0.333 0.667 0.265 1
B2 B 0.333 0.667 0.735 1
B3 B 0.667 0.333 0.265 1
B4 B 0.667 0.333 0.735 1
```

#2
A relaxed PrHoB4 crystal, computed with PBE.

The total magnetic moment comes out at 0.0 μB/f.u.

The structure in CIF format:
```
data_PrHoB4
_chemical_formula_sum 'Pr1 Ho1 B4'
_symmetry_space_group_name_H-M 'P 1'
_symmetry_Int_Tables_number 1
_cell_length_a 5.215
_cell_length_b 5.215
_cell_length_c 5.215
_cell_angle_alpha 142.94
_cell_angle_beta 113.06
_cell_angle_gamma 79.06
loop_
_symmetry_equiv_pos_as_xyz
'x,y,z'
loop_
_atom_site_label
_atom_site_type_symbol
_atom_site_fract_x
_atom_site_fract_y
_atom_site_fract_z
_atom_site_occupancy
Pr1 Pr 0.000 0.000 0.000 1
Ho1 Ho 0.500 0.500 0.000 1
B1 B 0.086 0.752 0.334 1
B2 B 0.419 0.752 0.666 1
B3 B 0.581 0.248 0.334 1
B4 B 0.914 0.248 0.666 1
```

Order from most stable to least stable according to the calculation: #1, #2

#1
A relaxed RbHoB4 crystal, computed with PBE.

The total magnetic moment comes out at 0.0 μB/f.u.

The structure in CIF format:
```
data_RbHoB4
_chemical_formula_sum 'Rb1 Ho1 B4'
_symmetry_space_group_name_H-M 'P 1'
_symmetry_Int_Tables_number 1
_cell_length_a 3.231
_cell_length_b 3.231
_cell_length_c 9.046
_cell_angle_alpha 90.00
_cell_angle_beta 90.00
_cell_angle_gamma 120.00
loop_
_symmetry_equiv_pos_as_xyz
'x,y,z'
loop_
_atom_site_label
_atom_site_type_symbol
_atom_site_fract_x
_atom_site_fract_y
_atom_site_fract_z
_atom_site_occupancy
Rb1 Rb 0.000 0.000 0.000 1
Ho1 Ho 0.000 0.000 0.500 1
B1 B 0.333 0.667 0.292 1
B2 B 0.333 0.667 0.708 1
B3 B 0.667 0.333 0.292 1
B4 B 0.667 0.333 0.708 1
```

#2
A relaxed RbHoB4 crystal, computed with PBE.

The total magnetic moment comes out at 0.0 μB/f.u.

The structure in CIF format:
```
data_RbHoB4
_chemical_formula_sum 'Rb1 Ho1 B4'
_symmetry_space_group_name_H-M 'P 1'
_symmetry_Int_Tables_number 1
_cell_length_a 5.818
_cell_length_b 5.818
_cell_length_c 5.818
_cell_angle_alpha 148.83
_cell_angle_beta 94.22
_cell_angle_gamma 94.06
loop_
_symmetry_equiv_pos_as_xyz
'x,y,z'
loop_
_atom_site_label
_atom_site_type_symbol
_atom_site_fract_x
_atom_site_fract_y
_atom_site_fract_z
_atom_site_occupancy
Rb1 Rb 0.000 0.000 0.000 1
Ho1 Ho 0.500 0.000 0.500 1
B1 B 0.020 0.264 0.757 1
B2 B 0.493 0.736 0.757 1
B3 B 0.507 0.264 0.243 1
B4 B 0.980 0.736 0.243 1
```

Order from most stable to least stable according to the calculation: #1, #2